[1]
! CeMnCdC | Alexandria | PBE | relaxed; values from VASP
&SYSTEM
  ibrav = 0, nat = 8, ntyp = 4
/
ATOMIC_SPECIES
Ce 140.12 Ce.upf
Mn 54.94 Mn.upf
Cd 112.41 Cd.upf
C 12.01 C.upf
ATOMIC_POSITIONS crystal
Ce 0.750 0.750 0.196
Ce 0.250 0.250 0.804
Mn 0.750 0.250 0.000
Mn 0.250 0.750 0.000
Cd 0.250 0.750 0.500
Cd 0.750 0.250 0.500
C 0.750 0.750 0.921
C 0.250 0.250 0.079
CELL_PARAMETERS angstrom
-1.262 -2.594 -2.372
0.938 -2.678 2.429
-9.390 0.624 4.315
! - ΔH_f (0 K): 0.00 eV per atom
! - Crystal system: tetragonal

[2]
! CsCl2F2 | Alexandria | PBE | relaxed; values from VASP
&SYSTEM
  ibrav = 0, nat = 5, ntyp = 3
/
ATOMIC_SPECIES
Cs 132.91 Cs.upf
Cl 35.45 Cl.upf
F 19.00 F.upf
ATOMIC_POSITIONS crystal
Cs 0.000 0.000 0.000
Cl 0.667 0.333 0.650
Cl 0.333 0.667 0.350
F 0.667 0.333 0.901
F 0.333 0.667 0.099
CELL_PARAMETERS angstrom
5.143 0.000 0.000
-2.571 4.454 0.000
0.000 0.000 7.691
! - Relative energy among the computed polymorphs: 80 meV per atom
! - Energy relative to the elements, uncorrected: -0.95 eV/atom
! - Crystal system: trigonal

[3]
! LiHPb2 | Alexandria | PBE | relaxed; values from VASP
&SYSTEM
  ibrav = 0, nat = 8, ntyp = 3
/
ATOMIC_SPECIES
Pb 207.20 Pb.upf
H 1.01 H.upf
Li 6.94 Li.upf
ATOMIC_POSITIONS crystal
Pb 0.510 0.125 0.250
Pb 0.240 0.625 0.250
Pb 0.375 0.490 0.750
Pb 0.875 0.760 0.750
H 0.500 0.500 0.000
H 0.250 0.750 0.500
Li 0.000 0.000 0.000
Li 0.750 0.250 0.500
CELL_PARAMETERS angstrom
-3.819 -4.064 -0.907
3.088 -1.939 -4.316
2.716 -6.767 1.284
! - Relative energy among the computed polymorphs: 0 meV per atom
! - Crystal system: tetragonal

Number 1: spin magnetization 0.0 μB per formula unit, total DFT energy (no corrections) -0.464 Ry per atom. Number 2: spin magnetization 1.0 μB per formula unit, total DFT energy (no corrections) -0.192 Ry per atom. Number 3: spin magnetization 0.0 μB per formula unit, total DFT energy (no corrections) -0.214 Ry per atom.